Below is crystalline Sm2CrO6 at its relaxed geometry, with properties calculated at the PBE+U level.

## Properties
The theoretical density is 5944 kg/m3. As for the volume: 13.93 Å³ per atom. The total magnetic moment is 0.00 μB/atom. The calculation puts the energy at -133.2 eV/cell.

a b c (Å): 5.009 5.009 9.992
angles (deg): 90.00 90.00 90.00
Fractional positions:
1 Sm 0.000 0.000 0.172
2 Sm 0.000 0.000 0.828
3 Sm 0.500 0.500 0.328
4 Sm 0.500 0.500 0.672
5 Cr 0.000 0.000 0.500
6 Cr 0.500 0.500 0.000
7 O 0.181 0.181 0.362
8 O 0.181 0.181 0.638
9 O 0.243 0.243 0.000
10 O 0.257 0.743 0.500
11 O 0.319 0.681 0.138
12 O 0.319 0.681 0.862
13 O 0.681 0.319 0.138
14 O 0.681 0.319 0.862
15 O 0.743 0.257 0.500
16 O 0.757 0.757 0.000
17 O 0.819 0.819 0.362
18 O 0.819 0.819 0.638